! Rb2TlWO4, relaxed, DFT GGA+U; values from VASP
! Space-group type: No. 121
! E_tot, eV/atom: -5.5001
! Total moment, μB per cell: 1.00
! DOS(E_F), states/eV/f.u.: 0.913
&SYSTEM
  ibrav = 0, nat = 8, ntyp = 4
/
ATOMIC_SPECIES
Rb 85.47 Rb.upf
Tl 204.38 Tl.upf
W 183.84 W.upf
O 16.00 O.upf
CELL_PARAMETERS angstrom
-3.065 3.065 5.762
3.065 -3.065 5.762
3.065 3.065 -5.762
ATOMIC_POSITIONS crystal
Rb 0.250 0.750 0.500
Rb 0.750 0.250 0.500
Tl 0.000 0.000 0.000
W 0.500 0.500 0.000
O 0.237 0.580 0.000
O 0.420 0.420 0.656
O 0.580 0.237 0.000
O 0.763 0.763 0.344